DFT (PBE) results for an optimized crystal structure of FeCuSiSe.

abc: 3.6626 2.7207 12.1276
angles: 90.00 100.31 90.00
Sites, in units of the cell vectors:
1 Se 0.6119 0.0000 0.6918
2 Cu 0.1890 0.5000 0.3279
3 Se 0.6119 0.5000 0.1918
4 Cu 0.1890 0.0000 0.8279
5 Si 0.0002 0.0000 0.4769
6 Si 0.0002 0.5000 0.9769
7 Fe 0.5340 0.0000 0.0315
8 Fe 0.5340 0.5000 0.5315

Properties
**Space-group type**: Cm
**N(E_F)**: 3.1 states/eV/cell
**Theoretical density**: 6.325 g/cm3
**Magnetization**: 0.0 μB per cell
**E_tot**: -5.4022 eV/atom

***

DFT (PBE) results for an optimized crystal structure of FeCuSiSe.

abc: 3.6449 3.6449 5.1815
angles: 90.00 90.00 120.00
Each line ends with the local moment (μB).
Sites, in units of the cell vectors:
1 Cu 0.3333 0.6667 0.6479  0.01
2 Fe 0.3333 0.6667 0.1170  0.95
3 Si 0.6667 0.3333 0.9294  -0.04
4 Se 0.0000 0.0000 0.3620  0.04

Properties
**Space-group type**: P3m1
**N(E_F)**: 3.8 states/eV/cell
**Theoretical density**: 6.307 g/cm3
**Magnetization**: 0.9 μB per cell
**E_tot**: -5.3669 eV/atom